VASP calculation (PBE) on an optimized crystal structure of KHo2Co.

The structure in POSCAR format:
```
KHo2Co
1.0
1.949 1.125 10.836
-1.949 1.125 10.836
0.000 -2.250 10.836
K Ho Co
1 2 1
Direct
0.000 0.000 0.000
0.124 0.124 0.124
0.876 0.876 0.876
0.500 0.500 0.500
```

Summary:
Total magnetization: 0.00 Bohr magnetons per cell
Final energy: -4.28 eV per atom

VASP calculation (PBE) on an optimized crystal structure of YTaW2.

The structure in POSCAR format:
```
YTaW2
1.0
0.000 3.352 3.352
3.352 0.000 3.352
3.352 3.352 0.000
Y Ta W
1 1 2
Direct
0.000 0.000 0.000
0.500 0.500 0.500
0.250 0.250 0.250
0.750 0.750 0.750
```

Summary:
Total magnetization: 0.00 Bohr magnetons per cell
Final energy: -10.55 eV per atom

VASP calculation (PBE) on an optimized crystal structure of MnP2Se.

The structure in POSCAR format:
```
MnP2Se
1.0
3.049 0.000 0.000
0.000 3.049 0.000
0.000 0.000 7.167
Mn P Se
1 2 1
Direct
0.000 0.000 0.000
0.000 0.000 0.338
0.500 0.500 0.184
0.500 0.500 0.792
```

Summary:
Total magnetization: 1.87 Bohr magnetons per cell
Final energy: -5.78 eV per atom

VASP calculation (PBE) on an optimized crystal structure of VCo5Si.

The structure in POSCAR format:
```
VCo5Si
1.0
3.674 0.000 0.000
0.000 3.674 0.000
0.000 0.000 6.029
V Co Si
1 5 1
Direct
0.000 0.000 0.000
0.000 0.500 0.274
0.000 0.500 0.726
0.500 0.000 0.274
0.500 0.000 0.726
0.500 0.500 0.000
0.500 0.500 0.500
```

Summary:
Total magnetization: 3.52 Bohr magnetons per cell
Final energy: -7.31 eV per atom